Record 1
Material: Pm2ErCo
Method: DFT, GGA-PBE
State: relaxed

Properties
- calculated formation energy (meV/atom) = 232
- energy above the lowest structure with this stoichiometry (meV/atom) = 341
- space group = R-3m (166)

Cell: 3.623 3.623 10.624 Å, 80.18 80.18 60.00°
Element x y z (fractional)
Pm  0.112  0.112  0.665
Pm  0.888  0.888  0.335
Co  0.500  0.500  0.500
Er  0.000  0.000  0.000

***

Record 2
Material: Dy2ReN3
Method: DFT, GGA-PBE
State: relaxed

Properties
- raw formation energy (eV per atom) = -1.13
- space group = Immm (71)

Cell: 3.323 3.852 6.794 Å, 106.47 104.15 90.00°
Element x y z (fractional)
Dy  0.651  0.651  0.303
Dy  0.349  0.349  0.697
Re  0.000  0.000  0.000
N  0.000  0.500  0.000
N  0.836  0.836  0.673
N  0.164  0.164  0.327

***

Record 3
Material: Cs2IrI4
Method: DFT, GGA-PBE
State: relaxed

Properties
- raw formation energy (eV per atom) = -0.74
- space group = I4/mmm (139)

Cell: 5.696 5.696 10.118 Å, 106.35 106.35 90.00°
Last column: magnetic moment on the atom in μB.
Element x y z (fractional)
Cs  0.640  0.640  0.281  0.00
Cs  0.360  0.360  0.719  0.00
I  0.855  0.855  0.709  0.00
I  0.145  0.145  0.291  0.00
I  0.000  0.500  0.000  0.01
I  0.500  0.000  0.000  0.01
Ir  0.000  0.000  0.000  0.10

***

Record 4
Material: Rb3U2Se3O4
Method: DFT, GGA-PBE
State: relaxed

Properties
- raw formation energy (eV per atom) = -2.04
- space group = Immm (71)

Cell: 4.259 5.649 13.278 Å, 102.28 99.23 90.00°
Last column: magnetic moment on the atom in μB.
Element x y z (fractional)
Rb  0.502  0.500  0.000  0.00
Rb  0.300  0.297  0.594  0.00
Rb  0.705  0.703  0.406  0.00
U  0.113  0.111  0.221  0.59
U  0.892  0.889  0.779  0.59
Se  0.002  0.000  0.000  -0.03
Se  0.108  0.606  0.211  -0.02
Se  0.897  0.394  0.789  -0.02
O  0.392  0.890  0.780  -0.03
O  0.188  0.186  0.372  -0.02
O  0.816  0.814  0.628  -0.02
O  0.612  0.110  0.220  -0.03

***

| no. | uncorrected energy (eV per atom) |
| --- | --- |
| 1 | -5.06 |
| 2 | -8.90 |
| 3 | -3.13 |
| 4 | -6.69 |